# 1
DFT (PBE-GGA) results for an optimized crystal structure of CaTcRu2.

Cell lengths 2.872, 4.342, 5.718 Å; angles 90.00, 103.89, 90.00 degrees
Space group Pm (No. 6)
Symmetry-distinct sites (fractional):
Ca 0.000 0.000 0.000
Tc 0.349 0.500 0.700
Ru 0.258 0.000 0.504
Ru 0.659 0.500 0.303

Computed properties:
The value obtained for the volume is 17.30 Å³ per atom. Its energy above the most stable polymorph in this dataset is 142 meV/atom.



# 2
DFT (PBE-GGA) results for an optimized crystal structure of Tl2CuAg.

Cell lengths 3.5012, 3.5012, 25.5451 Å; angles 90.00, 90.00, 120.00 degrees
Space group R-3m (No. 166, hexagonal axes)
Symmetry-distinct sites (fractional):
Tl 0.0000 0.0000 0.2440
Cu 0.0000 0.0000 0.5000
Ag 0.0000 0.0000 0.0000

Computed properties:
The value obtained for the volume is 22.60 Å³ per atom. Its energy above the most stable polymorph in this dataset is 110 meV/atom.



# 3
DFT (PBE-GGA) results for an optimized crystal structure of CaBe2GaAu5.

Cell lengths 4.346, 4.346, 9.285 Å; angles 90.00, 90.00, 90.00 degrees
Space group P4/mmm (No. 123)
Symmetry-distinct sites (fractional):
Ca 0.000 0.000 0.000
Be 0.500 0.500 0.241
Ga 0.000 0.000 0.500
Au 0.000 0.500 0.327
Au 0.500 0.500 0.000

Computed properties:
The value obtained for the volume is 19.48 Å³ per atom. The calculation puts the total energy at -30.79 eV per formula unit.



# 4
DFT (PBE-GGA) results for an optimized crystal structure of Y5HoEr2Tm.

Cell lengths 5.572, 19.903, 10.533 Å; angles 90.00, 90.00, 90.00 degrees
Space group Cmc2_1 (No. 36)
Symmetry-distinct sites (fractional):
Y 0.000 0.017 0.000
Y 0.000 0.279 0.293
Y 0.000 0.301 0.684
Y 0.000 0.385 0.001
Y 0.000 0.480 0.717
Ho 0.000 0.197 0.992
Er 0.000 0.110 0.717
Er 0.000 0.112 0.294
Tm 0.000 0.412 0.434

Computed properties:
The value obtained for the volume is 32.45 Å³ per atom. The calculation puts the total energy at -49.09 eV per formula unit.



# 5
DFT (PBE-GGA) results for an optimized crystal structure of Tb5Er3N8.

Cell lengths 6.9440, 6.9440, 17.0108 Å; angles 90.00, 90.00, 120.00 degrees
Space group R-3m (No. 166, hexagonal axes)
Symmetry-distinct sites (fractional):
Tb 0.0000 0.0000 0.0000
Tb 0.0000 0.0000 0.5000
Tb 0.0000 0.5000 0.0000
Er 0.0000 0.5000 0.5000
N 0.0000 0.0000 0.2486
N 0.0018 0.5009 0.7509

Computed properties:
As for the formation energy from raw total energies: -1.704 eV/atom. The value obtained for the volume is 14.80 Å³ per atom.



# 6
DFT (PBE-GGA) results for an optimized crystal structure of Tb5In2Rh2.

Cell lengths 16.407, 7.631, 7.544 Å; angles 90.00, 90.00, 90.00 degrees
Space group Cmce (No. 64)
Symmetry-distinct sites (fractional):
Tb 0.000 0.000 0.000
Tb 0.117 0.173 0.332
In 0.221 0.000 0.000
Rh 0.000 0.133 0.634

Computed properties:
The value obtained for the volume is 26.24 Å³ per atom. The calculation puts the total energy at -48.45 eV per formula unit.



# 7
DFT (PBE-GGA) results for an optimized crystal structure of PBr2.

Cell lengths 3.647, 17.692, 6.170 Å; angles 90.00, 90.00, 90.00 degrees
Space group Cmcm (No. 63)
Symmetry-distinct sites (fractional):
P 0.000 0.191 0.250
Br 0.000 0.204 0.750
Br 0.000 0.410 0.750

Computed properties:
As for the formation energy from raw total energies: 0.119 eV/atom. The value obtained for the volume is 33.17 Å³ per atom.



# 8
DFT (PBE-GGA) results for an optimized crystal structure of KCaTe2N.

Cell lengths 5.980, 5.980, 4.764 Å; angles 90.00, 90.00, 90.00 degrees
Space group P4/mmm (No. 123)
Symmetry-distinct sites (fractional):
K 0.000 0.000 0.000
Ca 0.500 0.500 0.500
Te 0.000 0.500 0.000
N 0.000 0.000 0.500

Computed properties:
As for the formation energy from raw total energies: 0.847 eV/atom. The value obtained for the volume is 34.07 Å³ per atom. Its energy above the most stable polymorph in this dataset is 628 meV/atom.



# 9
DFT (PBE-GGA) results for an optimized crystal structure of LiInCo2.

Cell lengths 4.234, 4.234, 6.021 Å; angles 90.00, 90.00, 90.00 degrees
Space group I-4m2 (No. 119)
Symmetry-distinct sites (fractional):
Li 0.000 0.000 0.000
In 0.000 0.500 0.250
Co 0.000 0.000 0.500
Co 0.000 0.500 0.750

Computed properties:
The value obtained for the volume is 13.49 Å³ per atom. The calculation puts the total energy at -18.55 eV per formula unit.



# 10
DFT (PBE-GGA) results for an optimized crystal structure of Tb2PrHo4.

Cell lengths 6.085, 6.580, 11.550 Å; angles 90.00, 104.04, 90.00 degrees
Space group P2_1/m (No. 11)
Symmetry-distinct sites (fractional):
Tb 0.103 0.250 0.490
Tb 0.344 0.750 0.049
Pr 0.457 0.750 0.636
Ho 0.154 0.009 0.790
Ho 0.218 0.250 0.078
Ho 0.354 0.750 0.334

Computed properties:
The value obtained for the volume is 32.05 Å³ per atom. Its energy above the most stable polymorph in this dataset is 89 meV/atom.



# 11
DFT (PBE-GGA) results for an optimized crystal structure of FeCuRh3.

Cell lengths 2.674, 13.581, 8.467 Å; angles 90.00, 90.00, 90.00 degrees
Space group Cmcm (No. 63)
Symmetry-distinct sites (fractional):
Fe 0.000 0.231 0.250
Cu 0.000 0.000 0.000
Rh 0.000 0.106 0.750
Rh 0.000 0.336 0.510

Computed properties:
The value obtained for the volume is 15.37 Å³ per atom. Its energy above the most stable polymorph in this dataset is 0 meV/atom.



# 12
DFT (PBE-GGA) results for an optimized crystal structure of LaTcHg2.

Cell lengths 3.313, 4.688, 12.805 Å; angles 90.00, 90.00, 90.00 degrees
Space group Imm2 (No. 44)
Symmetry-distinct sites (fractional):
La 0.000 0.000 0.000
Tc 0.000 0.500 0.673
Hg 0.000 0.000 0.357
Hg 0.000 0.500 0.189

Computed properties:
The value obtained for the volume is 24.86 Å³ per atom. Its energy above the most stable polymorph in this dataset is 0 meV/atom.